VASP calculation (PBE) on a relaxed PrBiO3 crystal.

Final energy: -138.16 eV for the cell shown
Total magnetization: 0.00 μB/cell

Lattice parameters (Å, degrees): 6.255 8.677 5.916 90.00 90.00 90.00
Space group Pnma (No. 62)
Asymmetric unit:
Pr1 0.061 0.250 0.021 [4 per cell]
Bi1 0.000 0.000 0.500 [4 per cell]
O1 0.084 0.750 0.342 [4 per cell]
O2 0.188 0.580 0.818 [8 per cell]

***

VASP calculation (PBE) on a relaxed Nd2Cl crystal.

Final energy: -89.27 eV for the cell shown
Total magnetization: 5.60 μB/cell

Lattice parameters (Å, degrees): 9.291 9.291 9.291 90.00 90.00 90.00
Space group Fd-3m (No. 227, origin choice 2)
Asymmetric unit:
Nd1 0.000 0.000 0.000 [16 per cell]
Cl1 0.125 0.125 0.625 [8 per cell]

***

VASP calculation (PBE) on a relaxed MoIrPd crystal.

Final energy: -95.08 eV for the cell shown
Energy relative to the elements: 0.37 eV per atom
Excess energy over the best structure of this formula in the dataset: 0 kJ/mol of formula units
Total magnetization: 0.06 μB/cell

Lattice parameters (Å, degrees): 5.979 5.979 5.979 90.00 90.00 90.00
Space group F-43m (No. 216)
Asymmetric unit:
Mo1 0.000 0.000 0.000 [4 per cell]
Ir1 0.250 0.250 0.750 [4 per cell]
Pd1 0.250 0.250 0.250 [4 per cell]

***

VASP calculation (PBE) on a relaxed Os crystal.

Final energy: -33.18 eV for the cell shown
Energy relative to the elements: 0.17 eV per atom
Excess energy over the best structure of this formula in the dataset: 16 kJ/mol of formula units
Total magnetization: 0.00 μB/cell

Lattice parameters (Å, degrees): 2.7377 2.7377 6.5071 90.00 90.00 120.00
Space group R-3m (No. 166, hexagonal axes)
Asymmetric unit:
Os1 0.0000 0.0000 0.0000 [3 per cell]

***

VASP calculation (PBE) on a relaxed Sr2MoPd crystal.

Final energy: -66.80 eV for the cell shown
Total magnetization: 14.52 μB/cell

Lattice parameters (Å, degrees): 7.408 7.408 7.408 90.00 90.00 90.00
Space group F-43m (No. 216)
Asymmetric unit:
Sr1 0.000 0.000 0.000 [4 per cell]
Sr2 0.250 0.250 0.250 [4 per cell]
Mo1 0.250 0.250 0.750 [4 per cell]
Pd1 0.000 0.000 0.500 [4 per cell]

***

VASP calculation (PBE) on a relaxed NaSmF3 crystal.

Final energy: -107.78 eV for the cell shown
Total magnetization: 0.00 μB/cell

Lattice parameters (Å, degrees): 6.361 7.512 5.825 90.00 90.00 90.00
Space group Pnma (No. 62)
Asymmetric unit:
Na1 0.048 0.250 0.020 [4 per cell]
Sm1 0.000 0.000 0.500 [4 per cell]
F1 0.118 0.750 0.300 [4 per cell]
F2 0.162 0.527 0.854 [8 per cell]

***

VASP calculation (PBE) on a relaxed BeZn crystal.

Final energy: -9.27 eV for the cell shown

Lattice parameters (Å, degrees): 2.588 3.952 4.388 90.00 90.00 90.00
Space group Pmmn (No. 59, origin choice 2)
Asymmetric unit:
Be1 0.250 0.250 0.074 [2 per cell]
Zn1 0.250 0.750 0.390 [2 per cell]

***

VASP calculation (PBE) on a relaxed Ho2Si3Mo2 crystal.

Final energy: -98.75 eV for the cell shown
Total magnetization: 0.02 μB/cell

Lattice parameters (Å, degrees): 14.912 3.809 4.791 90.00 104.81 90.00
Space group C2/m (No. 12)
Asymmetric unit:
Ho1 0.094 0.000 0.224 [4 per cell]
Si1 0.000 0.500 0.500 [2 per cell]
Si2 0.238 0.500 0.327 [4 per cell]
Mo1 0.169 0.500 0.786 [4 per cell]

***

VASP calculation (PBE) on a relaxed ZrPb crystal.

Final energy: -49.25 eV for the cell shown
Total magnetization: 0.00 μB/cell

Lattice parameters (Å, degrees): 5.985 5.985 5.985 90.00 90.00 90.00
Space group Fm-3m (No. 225)
Asymmetric unit:
Zr1 0.000 0.000 0.000 [4 per cell]
Pb1 0.000 0.000 0.500 [4 per cell]

***

VASP calculation (PBE) on a relaxed LaGdTlNi2 crystal.

Final energy: -50.53 eV for the cell shown
Total magnetization: 0.01 μB/cell

Lattice parameters (Å, degrees): 3.763 3.993 14.786 90.00 90.00 90.00
Space group Amm2 (No. 38)
Asymmetric unit:
La1 0.000 0.000 0.000 [2 per cell]
Gd1 0.000 0.000 0.723 [2 per cell]
Tl1 0.500 0.000 0.356 [2 per cell]
Ni1 0.500 0.000 0.163 [2 per cell]
Ni2 0.500 0.000 0.565 [2 per cell]

***

VASP calculation (PBE) on a relaxed Th3Ge4Pd2 crystal.

Final energy: -117.71 eV for the cell shown
Total magnetization: 0.01 μB/cell

Lattice parameters (Å, degrees): 11.031 4.408 8.427 90.00 103.48 90.00
Space group C2/m (No. 12)
Asymmetric unit:
Th1 0.000 0.000 0.000 [2 per cell]
Th2 0.163 0.500 0.669 [4 per cell]
Ge1 0.065 0.000 0.395 [4 per cell]
Ge2 0.221 0.500 0.058 [4 per cell]
Pd1 0.107 0.500 0.279 [4 per cell]

***

VASP calculation (PBE) on a relaxed HoCuTePbS2 crystal.

Final energy: -116.54 eV for the cell shown
Total magnetization: 0.00 μB/cell

Lattice parameters (Å, degrees): 4.000 13.931 10.898 90.00 90.00 90.00
Space group Cmcm (No. 63)
Asymmetric unit:
Ho1 0.000 0.000 0.000 [4 per cell]
Cu1 0.000 0.475 0.250 [4 per cell]
Te1 0.000 0.102 0.250 [4 per cell]
Pb1 0.000 0.212 0.750 [4 per cell]
S1 0.000 0.379 0.075 [8 per cell]

***

VASP calculation (PBE) on a relaxed GdYBr2O crystal.

Final energy: -29.91 eV for the cell shown
Total magnetization: 0.00 μB/cell

Lattice parameters (Å, degrees): 3.6847 3.6847 10.1955 90.00 90.00 120.00
Space group P3m1 (No. 156)
Asymmetric unit:
Gd1 0.0000 0.0000 0.0000 [1 per cell]
Y1 0.3333 0.6667 0.2436 [1 per cell]
Br1 0.0000 0.0000 0.4324 [1 per cell]
Br2 0.3333 0.6667 0.8087 [1 per cell]
O1 0.6667 0.3333 0.1277 [1 per cell]

***

VASP calculation (PBE) on a relaxed CsLu2Cu3Se5 crystal.

Final energy: -202.38 eV for the cell shown
Total magnetization: 0.01 μB/cell

Lattice parameters (Å, degrees): 4.089 14.668 17.098 90.00 90.00 90.00
Space group Cmcm (No. 63)
Asymmetric unit:
Cs1 0.000 0.062 0.250 [4 per cell]
Lu1 0.000 0.192 0.592 [8 per cell]
Cu1 0.000 0.347 0.250 [4 per cell]
Cu2 0.000 0.417 0.534 [8 per cell]
Se1 0.000 0.171 0.070 [8 per cell]
Se2 0.000 0.239 0.750 [4 per cell]
Se3 0.000 0.437 0.113 [8 per cell]

***

VASP calculation (PBE) on a relaxed Dy2LuSe3 crystal.

Final energy: -34.36 eV for the cell shown
Total magnetization: 0.02 μB/cell

Lattice parameters (Å, degrees): 4.0235 4.0235 9.9430 90.00 90.00 120.00
Space group P-3m1 (No. 164)
Asymmetric unit:
Dy1 0.3333 0.6667 0.1673 [2 per cell]
Lu1 0.0000 0.0000 0.5000 [1 per cell]
Se1 0.0000 0.0000 0.0000 [1 per cell]
Se2 0.3333 0.6667 0.6595 [2 per cell]

***

VASP calculation (PBE) on a relaxed SmTlB crystal.

Final energy: -52.28 eV for the cell shown
Excess energy over the best structure of this formula in the dataset: 0 kJ/mol of formula units
Total magnetization: 0.02 μB/cell

Lattice parameters (Å, degrees): 6.350 6.350 6.350 90.00 90.00 90.00
Space group F-43m (No. 216)
Asymmetric unit:
Sm1 0.000 0.000 0.000 [4 per cell]
Tl1 0.000 0.000 0.500 [4 per cell]
B1 0.250 0.250 0.250 [4 per cell]

***

VASP calculation (PBE) on a relaxed Re7Ni8 crystal.

Final energy: -259.67 eV for the cell shown
Energy relative to the elements: 0.11 eV per atom
Excess energy over the best structure of this formula in the dataset: 57 kJ/mol of formula units
Total magnetization: 0.02 μB/cell

Lattice parameters (Å, degrees): 9.106 9.106 4.699 90.00 90.00 90.00
Space group P4_2/mnm (No. 136)
Asymmetric unit:
Re1 0.000 0.000 0.000 [2 per cell]
Re2 0.076 0.269 0.000 [8 per cell]
Re3 0.101 0.101 0.500 [4 per cell]
Ni1 0.036 0.372 0.500 [8 per cell]
Ni2 0.176 0.824 0.254 [8 per cell]

***

VASP calculation (PBE) on a relaxed CdCoPbS3 crystal.

Final energy: -103.53 eV for the cell shown
Excess energy over the best structure of this formula in the dataset: 0 kJ/mol of formula units
Total magnetization: 12.00 μB/cell

Lattice parameters (Å, degrees): 3.862 12.896 10.430 90.00 90.00 90.00
Space group Cmcm (No. 63)
Asymmetric unit:
Cd1 0.000 0.000 0.000 [4 per cell]
Co1 0.000 0.470 0.250 [4 per cell]
Pb1 0.000 0.246 0.750 [4 per cell]
S1 0.000 0.070 0.250 [4 per cell]
S2 0.000 0.364 0.076 [8 per cell]

***

VASP calculation (PBE) on a relaxed NdHgB crystal.

Final energy: -46.71 eV for the cell shown
Excess energy over the best structure of this formula in the dataset: 0 kJ/mol of formula units
Total magnetization: 0.01 μB/cell

Lattice parameters (Å, degrees): 6.308 6.308 6.308 90.00 90.00 90.00
Space group F-43m (No. 216)
Asymmetric unit:
Nd1 0.000 0.000 0.000 [4 per cell]
Hg1 0.000 0.000 0.500 [4 per cell]
B1 0.250 0.250 0.750 [4 per cell]

***

VASP calculation (PBE) on a relaxed PrNdMg2Au4 crystal.

Final energy: -31.51 eV for the cell shown
Total magnetization: 0.00 μB/cell

Lattice parameters (Å, degrees): 5.019 5.019 7.105 90.00 90.00 90.00
Space group P4/mmm (No. 123)
Asymmetric unit:
Pr1 0.000 0.000 0.000 [1 per cell]
Nd1 0.500 0.500 0.500 [1 per cell]
Mg1 0.000 0.000 0.500 [1 per cell]
Mg2 0.500 0.500 0.000 [1 per cell]
Au1 0.000 0.500 0.251 [4 per cell]